(1)
A geometry-optimized GaFe3H structure, computed with PBE.

Unit cell a=9.735 b=9.735 c=9.735 alpha=90.00 beta=90.00 gamma=90.00
Space group Fd-3m (No. 227, origin choice 2)
Asymmetric unit:
Ga 0.000 0.000 0.000 [16 per cell]
Fe 0.059 0.375 0.875 [48 per cell]
H 0.000 0.000 0.500 [16 per cell]

Values from the calculation:
E = -6.25 eV/atom
D(E_F) = 73.9 states/eV per cell

(2)
A geometry-optimized Nd6In2H structure, computed with PBE.

Unit cell a=6.621 b=9.467 c=9.840 alpha=90.00 beta=121.45 gamma=90.00
Space group P2_1/c (No. 14)
Asymmetric unit:
Nd 0.125 0.137 0.483 [4 per cell]
Nd 0.326 0.040 0.201 [4 per cell]
Nd 0.330 0.739 0.443 [4 per cell]
In 0.176 0.086 0.820 [4 per cell]
H 0.500 0.000 0.500 [2 per cell]

Values from the calculation:
E = -4.42 eV/atom
D(E_F) = 18.2 states/eV per cell

(3)
A geometry-optimized TlWAu structure, computed with PBE.

Unit cell a=6.484 b=6.484 c=6.484 alpha=90.00 beta=90.00 gamma=90.00
Space group F-43m (No. 216)
Asymmetric unit:
Tl 0.000 0.000 0.000 [4 per cell]
W 0.250 0.250 0.250 [4 per cell]
Au 0.000 0.000 0.500 [4 per cell]

Values from the calculation:
D(E_F) = 19.5 states/eV per cell
Energy of formation = 1.206 eV per atom

(4)
A geometry-optimized Sm6TlSe3 structure, computed with PBE.

Unit cell a=12.392 b=4.158 c=12.734 alpha=90.00 beta=115.28 gamma=90.00
Space group P2_1/m (No. 11)
Asymmetric unit:
Sm 0.040 0.250 0.401 [2 per cell]
Sm 0.107 0.750 0.948 [2 per cell]
Sm 0.219 0.750 0.272 [2 per cell]
Sm 0.261 0.250 0.773 [2 per cell]
Sm 0.420 0.250 0.575 [2 per cell]
Sm 0.445 0.250 0.128 [2 per cell]
Tl 0.224 0.750 0.568 [2 per cell]
Se 0.032 0.250 0.775 [2 per cell]
Se 0.350 0.750 0.948 [2 per cell]
Se 0.401 0.250 0.339 [2 per cell]

Values from the calculation:
D(E_F) = 15.7 states/eV per cell
Formation energy from raw total energies = -1.12 eV/atom

(5)
A geometry-optimized Mg2TlZnPt structure, computed with PBE.

Unit cell a=5.050 b=5.050 c=4.904 alpha=90.00 beta=90.00 gamma=90.00
Space group P4/mmm (No. 123)
Asymmetric unit:
Mg 0.000 0.500 0.000 [2 per cell]
Tl 0.000 0.000 0.500 [1 per cell]
Zn 0.500 0.500 0.500 [1 per cell]
Pt 0.500 0.500 0.000 [1 per cell]

Values from the calculation:
D(E_F) = 2.4 states/eV per cell
Energy of formation = -0.243 eV per atom

(6)
A geometry-optimized Tl2ReOs structure, computed with PBE.

Unit cell a=3.0727 b=3.0727 c=27.0769 alpha=90.00 beta=90.00 gamma=120.00
Space group R-3m (No. 166, hexagonal axes)
Asymmetric unit:
Tl 0.0000 0.0000 0.2489 [6 per cell]
Re 0.0000 0.0000 0.0000 [3 per cell]
Os 0.0000 0.0000 0.5000 [3 per cell]

Values from the calculation:
D(E_F) = 12.6 states/eV per cell
Energy of formation = 1.205 eV per atom

Number 1: calculated volume 11.53 A^3/atom. Number 2: calculated volume 29.23 A^3/atom. Number 3: calculated volume 22.71 A^3/atom. Number 4: calculated volume 29.67 A^3/atom. Number 5: calculated volume 25.01 A^3/atom. Number 6: calculated volume 18.45 A^3/atom.